BaLiNdHg | PBE | optimized geometry

## Properties
Final energy (eV per cell): -37.56
Magnetization (μB/f.u.): 0.0

Cell lengths 8.041, 8.041, 8.041 Å; angles 90.00, 90.00, 90.00 degrees
Space group F-43m (No. 216)
Asymmetric unit:
Ba 0.000 0.000 0.000 x4
Li 0.250 0.250 0.750 x4
Nd 0.000 0.000 0.500 x4
Hg 0.250 0.250 0.250 x4